Below is crystalline Cs2SbPbI6 at its relaxed geometry, with properties calculated at the PBE level.

a = 8.907 Å, b = 8.907 Å, c = 8.907 Å
α = 120.10°, β = 120.10°, γ = 89.82°
Sites, in units of the cell vectors:
1 Cs 0.250 0.750 0.500
2 Cs 0.750 0.250 0.500
3 Sb 0.000 0.000 0.000
4 Pb 0.500 0.500 0.000
5 I 0.245 0.245 0.000
6 I 0.246 0.246 0.491
7 I 0.246 0.754 0.000
8 I 0.754 0.246 0.000
9 I 0.754 0.754 0.509
10 I 0.755 0.755 0.000

The space group is I4/mmm (139). The calculation puts the total energy at -27.22 eV per formula unit. The magnetization comes out at 0.000 μB per atom.

Below is crystalline CsSb2PbI at its relaxed geometry, with properties calculated at the PBE level.

a = 6.283 Å, b = 6.283 Å, c = 6.644 Å
α = 90.00°, β = 90.00°, γ = 90.00°
Sites, in units of the cell vectors:
1 Cs 0.000 0.000 0.000
2 Sb 0.000 0.500 0.000
3 Sb 0.500 0.000 0.000
4 Pb 0.500 0.500 0.500
5 I 0.000 0.000 0.500

The space group is P4/mmm (123). The calculation puts the total energy at -9.59 eV per formula unit. The magnetization comes out at 0.262 μB per atom.

Below is crystalline CsSbPb2I8 at its relaxed geometry, with properties calculated at the PBE level.

a = 7.496 Å, b = 7.817 Å, c = 10.008 Å
α = 89.78°, β = 89.72°, γ = 88.78°
Sites, in units of the cell vectors:
1 Cs 0.000 0.000 0.000
2 Sb 0.000 0.000 0.500
3 Pb 0.499 0.500 0.253
4 Pb 0.501 0.500 0.747
5 I 0.233 0.325 0.500
6 I 0.252 0.843 0.706
7 I 0.254 0.845 0.293
8 I 0.266 0.393 0.002
9 I 0.734 0.607 0.998
10 I 0.746 0.155 0.707
11 I 0.748 0.157 0.294
12 I 0.767 0.675 0.500

The space group is P-1 (2). The calculation puts the total energy at -32.35 eV per formula unit. The magnetization comes out at 0.000 μB per atom.

Below is crystalline CsSb2PbI at its relaxed geometry, with properties calculated at the PBE level.

a = 5.938 Å, b = 5.938 Å, c = 6.784 Å
α = 90.00°, β = 90.00°, γ = 90.00°
Sites, in units of the cell vectors:
1 Cs 0.000 0.000 0.000
2 Sb 0.000 0.500 0.500
3 Sb 0.500 0.000 0.500
4 Pb 0.500 0.500 0.500
5 I 0.500 0.500 0.000

The space group is P4/mmm (123). The calculation puts the total energy at -14.30 eV per formula unit. The magnetization comes out at 0.261 μB per atom.

Below is crystalline CsScPbI6 at its relaxed geometry, with properties calculated at the PBE level.

a = 8.053 Å, b = 8.053 Å, c = 8.438 Å
α = 90.00°, β = 90.00°, γ = 120.00°
Sites, in units of the cell vectors:
1 Cs 0.000 0.000 0.000
2 Sc 0.667 0.333 0.500
3 Pb 0.333 0.667 0.500
4 I 0.387 0.031 0.705
5 I 0.387 0.355 0.295
6 I 0.645 0.031 0.295
7 I 0.645 0.613 0.705
8 I 0.969 0.355 0.705
9 I 0.969 0.613 0.295

The space group is P312 (149). The calculation puts the total energy at -30.24 eV per formula unit. The magnetization comes out at 0.000 μB per atom.

Below is crystalline CsPbSeI at its relaxed geometry, with properties calculated at the PBE level.

a = 9.259 Å, b = 9.259 Å, c = 9.259 Å
α = 29.01°, β = 29.01°, γ = 29.01°
Sites, in units of the cell vectors:
1 Cs 0.000 0.000 0.000
2 Pb 0.478 0.478 0.478
3 Se 0.758 0.758 0.758
4 I 0.231 0.231 0.231

The space group is R3m (160). The calculation puts the total energy at -13.39 eV per formula unit. The magnetization comes out at 0.000 μB per atom.

Below is crystalline Cs2SiPbI6 at its relaxed geometry, with properties calculated at the PBE level.

a = 8.661 Å, b = 8.661 Å, c = 8.661 Å
α = 60.00°, β = 60.00°, γ = 60.00°
Sites, in units of the cell vectors:
1 Cs 0.250 0.250 0.250
2 Cs 0.750 0.750 0.750
3 Si 0.000 0.000 0.000
4 Pb 0.500 0.500 0.500
5 I 0.239 0.239 0.761
6 I 0.239 0.761 0.239
7 I 0.239 0.761 0.761
8 I 0.761 0.239 0.239
9 I 0.761 0.239 0.761
10 I 0.761 0.761 0.239

The space group is Fm-3m (225). The calculation puts the total energy at -28.46 eV per formula unit. The magnetization comes out at 0.000 μB per atom.

Below is crystalline CsSmPb2I8 at its relaxed geometry, with properties calculated at the PBE level.

a = 7.500 Å, b = 7.888 Å, c = 10.083 Å
α = 89.78°, β = 89.70°, γ = 88.46°
Sites, in units of the cell vectors:
1 Cs 0.000 0.000 0.000
2 Sm 0.000 0.000 0.500
3 Pb 0.499 0.500 0.249
4 Pb 0.501 0.500 0.751
5 I 0.236 0.327 0.500
6 I 0.255 0.843 0.709
7 I 0.257 0.845 0.290
8 I 0.266 0.391 0.002
9 I 0.734 0.609 0.998
10 I 0.743 0.155 0.710
11 I 0.745 0.157 0.291
12 I 0.764 0.673 0.500

The space group is P-1 (2). The calculation puts the total energy at -37.34 eV per formula unit. The magnetization comes out at 0.000 μB per atom.

Below is crystalline Cs3SnPb2I9 at its relaxed geometry, with properties calculated at the PBE level.

a = 8.974 Å, b = 8.974 Å, c = 10.995 Å
α = 90.00°, β = 90.00°, γ = 120.00°
Sites, in units of the cell vectors:
1 Cs 0.000 0.000 0.000
2 Cs 0.333 0.667 0.668
3 Cs 0.667 0.333 0.332
4 Sn 0.000 0.000 0.500
5 Pb 0.333 0.667 0.170
6 Pb 0.667 0.333 0.830
7 I 0.000 0.500 0.000
8 I 0.165 0.330 0.336
9 I 0.165 0.835 0.336
10 I 0.330 0.165 0.664
11 I 0.500 0.000 0.000
12 I 0.500 0.500 0.000
13 I 0.670 0.835 0.336
14 I 0.835 0.165 0.664
15 I 0.835 0.670 0.664

The space group is P-3m1 (164). The calculation puts the total energy at -42.61 eV per formula unit. The magnetization comes out at 0.000 μB per atom.

Below is crystalline Cs4SrPb3I12 at its relaxed geometry, with properties calculated at the PBE level.

a = 11.099 Å, b = 11.099 Å, c = 11.099 Å
α = 109.47°, β = 109.47°, γ = 109.47°
Sites, in units of the cell vectors:
1 Cs 0.000 0.000 0.500
2 Cs 0.000 0.500 0.000
3 Cs 0.500 0.000 0.000
4 Cs 0.500 0.500 0.500
5 Sr 0.000 0.000 0.000
6 Pb 0.000 0.500 0.500
7 Pb 0.500 0.000 0.500
8 Pb 0.500 0.500 0.000
9 I 0.000 0.251 0.251
10 I 0.000 0.749 0.749
11 I 0.250 0.500 0.750
12 I 0.250 0.750 0.500
13 I 0.251 0.000 0.251
14 I 0.251 0.251 0.000
15 I 0.500 0.250 0.750
16 I 0.500 0.750 0.250
17 I 0.749 0.000 0.749
18 I 0.749 0.749 0.000
19 I 0.750 0.250 0.500
20 I 0.750 0.500 0.250

The space group is Im-3m (229). The calculation puts the total energy at -57.87 eV per formula unit. The magnetization comes out at 0.000 μB per atom.

Below is crystalline CsTbPbI6 at its relaxed geometry, with properties calculated at the PBE level.

a = 8.214 Å, b = 8.214 Å, c = 8.461 Å
α = 90.00°, β = 90.00°, γ = 120.00°
Sites, in units of the cell vectors:
1 Cs 0.000 0.000 0.000
2 Tb 0.667 0.333 0.500
3 Pb 0.333 0.667 0.500
4 I 0.383 0.018 0.714
5 I 0.383 0.365 0.286
6 I 0.635 0.018 0.286
7 I 0.635 0.617 0.714
8 I 0.982 0.365 0.714
9 I 0.982 0.617 0.286

The space group is P312 (149). The calculation puts the total energy at -29.30 eV per formula unit. The magnetization comes out at 0.000 μB per atom.

Below is crystalline Cs2TcPbI6 at its relaxed geometry, with properties calculated at the PBE level.

a = 8.715 Å, b = 8.715 Å, c = 8.715 Å
α = 120.13°, β = 120.13°, γ = 89.78°
Sites, in units of the cell vectors:
1 Cs 0.250 0.750 0.500
2 Cs 0.750 0.250 0.500
3 Tc 0.000 0.000 0.000
4 Pb 0.500 0.500 0.000
5 I 0.238 0.238 0.477
6 I 0.238 0.762 0.000
7 I 0.239 0.239 0.000
8 I 0.761 0.761 0.000
9 I 0.762 0.238 0.000
10 I 0.762 0.762 0.523

The space group is I4/mmm (139). The calculation puts the total energy at -31.81 eV per formula unit. The magnetization comes out at 0.500 μB per atom.

For each record above, in turn, the calculated energy relative to the elements, uncorrected values are -0.838; 0.953; -0.630; 0.012; -1.117; -0.949; -0.832; -0.996; -0.978; -1.152; -1.201; -0.673 eV per atom.